No. 1
Na4Tm3SnTe8: relaxed, PBE-GGA.

Lattice parameters (Å, degrees): 9.105 9.105 9.105 57.83 57.83 57.83
Atoms (fractional coordinates):
Na1 0.000 0.000 0.000
Na2 0.000 0.500 0.500
Na3 0.500 0.000 0.500
Na4 0.500 0.500 0.000
Tm1 0.000 0.000 0.500
Tm2 0.000 0.500 0.000
Tm3 0.500 0.000 0.000
Sn1 0.500 0.500 0.500
Te1 0.241 0.744 0.744
Te2 0.243 0.243 0.243
Te3 0.256 0.256 0.759
Te4 0.256 0.759 0.256
Te5 0.744 0.241 0.744
Te6 0.744 0.744 0.241
Te7 0.757 0.757 0.757
Te8 0.759 0.256 0.256

Summary:
The theoretical density comes out at 5.7 g/cm³. Its space-group type is R-3m, No. 166. The calculation puts the formation energy from raw total energies at -1.09 eV per atom.

---

No. 2
NaTmSn2Te4: relaxed, PBE-GGA.

Lattice parameters (Å, degrees): 7.763 4.467 7.803 90.00 108.60 90.00
Atoms (fractional coordinates):
Na1 0.000 0.000 0.000
Tm1 0.500 0.500 0.000
Sn1 0.000 0.500 0.500
Sn2 0.500 0.000 0.500
Te1 0.261 0.500 0.245
Te2 0.263 0.000 0.761
Te3 0.737 0.000 0.239
Te4 0.739 0.500 0.755

Summary:
The theoretical density comes out at 6.1 g/cm³. Its space-group type is P2/m, No. 10. The calculation puts the formation energy from raw total energies at -0.72 eV per atom.

---

No. 3
Na2TmSnTe4: relaxed, PBE-GGA.

Lattice parameters (Å, degrees): 7.698 4.357 7.997 90.00 108.45 90.00
Atoms (fractional coordinates):
Na1 0.000 0.000 0.000
Na2 0.500 0.500 0.000
Tm1 0.000 0.500 0.500
Sn1 0.500 0.000 0.500
Te1 0.241 0.000 0.728
Te2 0.253 0.500 0.271
Te3 0.747 0.500 0.729
Te4 0.759 0.000 0.272

Summary:
The theoretical density comes out at 5.5 g/cm³. Its space-group type is P2/m, No. 10. The calculation puts the formation energy from raw total energies at -0.88 eV per atom.

---

No. 4
Na2TmSn3Te6: relaxed, PBE-GGA.

Lattice parameters (Å, degrees): 7.751 7.751 7.833 99.52 99.52 119.97
Atoms (fractional coordinates):
Na1 0.167 0.833 0.000
Na2 0.833 0.167 0.000
Tm1 0.500 0.500 0.000
Sn1 0.000 0.000 0.500
Sn2 0.337 0.663 0.500
Sn3 0.663 0.337 0.500
Te1 0.101 0.417 0.755
Te2 0.266 0.266 0.254
Te3 0.417 0.101 0.755
Te4 0.583 0.899 0.245
Te5 0.734 0.734 0.746
Te6 0.899 0.583 0.245

Summary:
The theoretical density comes out at 5.8 g/cm³. Its space-group type is C2/m, No. 12. The calculation puts the formation energy from raw total energies at -0.66 eV per atom.

---

- Which of these has the highest formation energy from raw total energies?
  Na2TmSn3Te6

---

- Among the records above, which one has the highest theoretical density?
  NaTmSn2Te4

---

- Which value of formation energy from raw total energies does entry 2 give?
  -0.72 eV per atom

---

- The highest theoretical density belongs to which entry?
  NaTmSn2Te4